# NdHoAsSe

Crystalline NdHoAsSe at its relaxed geometry (GGA-PBE, the Alexandria database).

abc: 4.1577 4.1577 7.2669
angles: 73.38 73.38 60.00
Sites, in units of the cell vectors:
Nd (0.9961, 0.9961, 0.0118)
Ho (0.5040, 0.5040, 0.4881)
As (0.2458, 0.2458, 0.2627)
Se (0.7542, 0.7542, 0.7374)

E   -24.32 eV/cell
D(E_F)   1.6 states/eV/f.u.